A plane-wave DFT calculation with PBE-GGA was carried out for crystalline ReHgMoAu2 at its relaxed geometry.

The space group is P4/mmm (No. 123) and the conventional cell measures 5.0095, 5.0095 and 5.2135 Å, with angles of 90.00, 90.00 and 90.00 degrees. The inequivalent atoms are Re at (0.0000, 0.0000, 0.0000), Hg at (0.0000, 0.0000, 0.5000), Mo at (0.5000, 0.5000, 0.5000) and Au at (0.0000, 0.5000, 0.0000).

The calculation puts the volume at 26.17 Å³ per atom. The formation energy from the elements comes out at 1.74 eV per atom. The density of states at the Fermi level is 4.801 states/eV per cell.

A plane-wave DFT calculation with PBE-GGA was carried out for crystalline Hg2MoWAu at its relaxed geometry.

The space group is P4/mmm (No. 123) and the conventional cell measures 5.3091, 5.3091 and 4.6064 Å, with angles of 90.00, 90.00 and 90.00 degrees. The inequivalent atoms are Hg at (0.0000, 0.5000, 0.0000), Mo at (0.0000, 0.0000, 0.0000), W at (0.0000, 0.0000, 0.5000) and Au at (0.5000, 0.5000, 0.5000).

The calculation puts the volume at 25.97 Å³ per atom. The formation energy from the elements comes out at 1.57 eV per atom. The density of states at the Fermi level is 5.520 states/eV per cell.

A plane-wave DFT calculation with PBE-GGA was carried out for crystalline HgAu3N at its relaxed geometry.

The space group is P-1 (No. 2) and the conventional cell measures 3.1960, 7.4357 and 8.0023 Å, with angles of 88.69, 89.58 and 77.66 degrees. The inequivalent atoms are Hg at (0.1067, 0.2812, 0.0424), Au at (0.0382, 0.4211, 0.7071), Au at (0.3012, 0.9024, 0.2187), Au at (0.3296, 0.8402, 0.6354) and N at (0.0862, 0.3259, 0.4420).

The calculation puts the volume at 18.57 Å³ per atom. For the uncorrected formation energy, the calculation gives 3.231 eV/f.u. The density of states at the Fermi level is 3.586 states/eV per cell.

A plane-wave DFT calculation with PBE-GGA was carried out for crystalline Hg4AuN2 at its relaxed geometry.

The space group is R-3m (No. 166, hexagonal axes) and the conventional cell measures 3.8496, 3.8496 and 34.8289 Å, with angles of 90.00, 90.00 and 120.00 degrees. The inequivalent atoms are Hg at (0.0000, 0.0000, 0.1261), Hg at (0.0000, 0.0000, 0.2811), Au at (0.0000, 0.0000, 0.0000) and N at (0.0000, 0.0000, 0.2152).

The calculation puts the volume at 21.29 Å³ per atom. For the uncorrected formation energy, the calculation gives 5.924 eV/f.u. The density of states at the Fermi level is 7.074 states/eV per cell.

A plane-wave DFT calculation with PBE-GGA was carried out for crystalline HgAu3N at its relaxed geometry.

The space group is Pm-3m (No. 221) and the conventional cell measures 4.4994, 4.4994 and 4.4994 Å, with angles of 90.00, 90.00 and 90.00 degrees. The inequivalent atoms are Hg at (0.0000, 0.0000, 0.0000), Au at (0.0000, 0.5000, 0.5000) and N at (0.5000, 0.5000, 0.5000).

The calculation puts the volume at 18.22 Å³ per atom. For the uncorrected formation energy, the calculation gives 3.678 eV/f.u. The density of states at the Fermi level is 0.094 states/eV per cell.

A plane-wave DFT calculation with PBE-GGA was carried out for crystalline HgAu3N at its relaxed geometry.

The space group is Pm-3m (No. 221) and the conventional cell measures 5.3298, 5.3298 and 5.3298 Å, with angles of 90.00, 90.00 and 90.00 degrees. The inequivalent atoms are Hg at (0.0000, 0.0000, 0.0000), Au at (0.0000, 0.0000, 0.5000) and N at (0.5000, 0.5000, 0.5000).

The calculation puts the volume at 30.28 Å³ per atom. For the uncorrected formation energy, the calculation gives 8.575 eV/f.u. The density of states at the Fermi level is 1.605 states/eV per cell.

A plane-wave DFT calculation with PBE-GGA was carried out for crystalline HgAuN2O at its relaxed geometry.

The space group is P4/mmm (No. 123) and the conventional cell measures 4.2902, 4.2902 and 4.3104 Å, with angles of 90.00, 90.00 and 90.00 degrees. The inequivalent atoms are Hg at (0.0000, 0.0000, 0.0000), Au at (0.5000, 0.5000, 0.5000), N at (0.0000, 0.5000, 0.0000) and O at (0.0000, 0.0000, 0.5000).

The calculation puts the volume at 15.87 Å³ per atom. For the uncorrected formation energy, the calculation gives 10.747 eV/f.u. The density of states at the Fermi level is 2.846 states/eV per cell.

A plane-wave DFT calculation with PBE-GGA was carried out for crystalline HgAuNO2 at its relaxed geometry.

The space group is P4/mmm (No. 123) and the conventional cell measures 4.2273, 4.2273 and 3.9637 Å, with angles of 90.00, 90.00 and 90.00 degrees. The inequivalent atoms are Hg at (0.0000, 0.0000, 0.0000), Au at (0.5000, 0.5000, 0.5000), N at (0.5000, 0.5000, 0.0000) and O at (0.0000, 0.5000, 0.5000).

The calculation puts the volume at 14.17 Å³ per atom. For the uncorrected formation energy, the calculation gives 5.154 eV/f.u. The density of states at the Fermi level is 1.540 states/eV per cell.